# 1
An optimized crystal structure of ZrNi6. Source: Alexandria via LeMat-Bulk, functional PBE.

Structure (extended XYZ):
```
28
Lattice="7.708 0.000 0.000 0.000 4.722 0.000 0.000 0.000 9.615" Properties=species:S:1:pos:R:3 pbc="T T T"
Zr 1.883 1.180 0.596
Zr 1.971 3.541 5.403
Zr 5.737 1.180 4.211
Zr 5.825 3.541 9.019
Ni 0.418 3.541 0.811
Ni 0.507 0.031 2.936
Ni 0.507 2.330 2.936
Ni 0.783 1.180 4.989
Ni 1.152 3.541 8.164
Ni 1.428 1.180 7.282
Ni 2.426 3.541 2.475
Ni 2.702 1.180 3.357
Ni 3.071 3.541 0.182
Ni 3.347 2.392 7.744
Ni 3.347 4.690 7.744
Ni 3.436 1.180 5.618
Ni 4.272 3.541 3.996
Ni 4.361 0.031 1.871
Ni 4.361 2.330 1.871
Ni 4.637 1.180 9.433
Ni 5.006 3.541 6.258
Ni 5.282 1.180 7.140
Ni 6.279 3.541 2.333
Ni 6.556 1.180 1.451
Ni 6.925 3.541 4.626
Ni 7.201 2.392 6.678
Ni 7.201 4.690 6.678
Ni 7.290 1.180 8.803
```


# 2
An optimized crystal structure of NiHSe3. Source: Alexandria via LeMat-Bulk, functional PBE.

Structure (extended XYZ):
```
5
Lattice="4.257 0.000 0.000 0.000 4.257 0.000 0.000 0.000 4.257" Properties=species:S:1:pos:R:3 pbc="T T T"
Ni 0.000 0.000 0.000
H 2.128 2.128 2.128
Se 0.000 2.128 2.128
Se 2.128 0.000 2.128
Se 2.128 2.128 0.000
```


| no. | relative energy among the computed polymorphs (meV/atom) | total magnetic moment (μB/f.u.) |
| --- | --- | --- |
| 1 | 0 | 1.59 |
| 2 | 94 | 0.61 |